# AcSm5Tl2

An optimized crystal structure of AcSm5Tl2 (PBE, Alexandria via LeMat-Bulk).

a = 3.796 Å, b = 8.643 Å, c = 8.643 Å
α = 77.06°, β = 77.32°, γ = 77.32°
Element x y z (fractional)
Ac: 0.000 0.000 0.000
Sm: 0.637 0.140 0.586
Sm: 0.637 0.586 0.140
Sm: 0.000 0.500 0.500
Sm: 0.363 0.414 0.860
Sm: 0.363 0.860 0.414
Tl: 0.260 0.240 0.240
Tl: 0.740 0.760 0.760

Computed properties:
* space-group type: Immm, No. 71
* E: -4.1898 eV per atom
* D(E_F): 1.467 states/eV per atom
* size of the total moment: 0.000 μB/f.u.
* crystal system: orthorhombic